5
Lattice="-6.893 9.009 0.484 -8.207 7.668 -1.664 -8.863 7.021 1.036" Properties=species:S:1:pos:R:3 comment="Al3W2 (GGA-PBE, relaxed)" space_group="No. 166" formation_enthalpy_0k_ev_per_atom=0.0510 total_energy_ev_per_atom=-7.376 n_ef_per_ev_cell=2.9 pbc="T T T"
W -9.597 9.490 -0.057
Al -19.162 18.950 -0.115
Al -4.800 4.747 -0.029
Al 0.000 0.000 0.000
W -14.366 14.207 -0.086

***

8
Lattice="-6.776 2.464 -0.363 1.389 -6.728 -2.216 -0.443 -0.869 2.362" Properties=species:S:1:pos:R:3 comment="C3Se (GGA-PBE, relaxed)" formation_energy_uncorrected_ev_per_atom=2.141 space_group="No. 63" total_energy_ev_per_atom=-5.648 n_ef_per_ev_cell=3.1 pbc="T T T"
C 0.384 -6.622 -0.291
C 0.818 -5.271 -1.095
C -6.647 0.137 0.878
C -5.441 1.092 1.456
C -0.388 -6.226 -1.673
C -6.213 1.488 0.074
Se -4.814 -0.771 0.888
Se -1.015 -4.363 -1.105